Here is a relaxed structure of PmAl6Ir from Alexandria via LeMat-Bulk. Energies are from PBE-GGA.

Structure (CIF):
```
data_PmAl6Ir
_cell_length_a 4.037
_cell_length_b 4.640
_cell_length_c 8.878
_cell_angle_alpha 87.32
_cell_angle_beta 76.93
_cell_angle_gamma 64.41
_space_group_name_H-M_alt 'P 1'
_space_group_IT_number 1
loop_
_space_group_symop_operation_xyz
'x,y,z'
loop_
_atom_site_label
_atom_site_fract_x
_atom_site_fract_y
_atom_site_fract_z
_atom_site_occupancy
Pm1 0.000 0.000 0.000 1
Al1 0.149 0.105 0.597 1
Al2 0.208 0.301 0.284 1
Al3 0.438 0.331 0.792 1
Al4 0.562 0.669 0.208 1
Al5 0.792 0.699 0.716 1
Al6 0.851 0.895 0.403 1
Ir1 0.500 0.500 0.500 1
```

**Relative energy among the computed polymorphs**: 0.80 eV per formula unit
**Space group**: No. 2
**Uncorrected energy**: -4.92 eV/atom

Here is a relaxed structure of Er2TmAu from Alexandria via LeMat-Bulk. Energies are from PBE-GGA.

Structure (CIF):
```
data_Er2TmAu
_cell_length_a 9.935
_cell_length_b 9.935
_cell_length_c 9.935
_cell_angle_alpha 21.38
_cell_angle_beta 21.38
_cell_angle_gamma 21.38
_space_group_name_H-M_alt 'P 1'
_space_group_IT_number 1
loop_
_space_group_symop_operation_xyz
'x,y,z'
loop_
_atom_site_label
_atom_site_fract_x
_atom_site_fract_y
_atom_site_fract_z
_atom_site_occupancy
Er1 0.000 0.000 0.000 1
Er2 0.193 0.193 0.193 1
Tm1 0.763 0.763 0.763 1
Au1 0.597 0.597 0.597 1
```

**Relative energy among the computed polymorphs**: 0.68 eV per formula unit
**Space group**: No. 160
**Uncorrected energy**: -4.51 eV/atom

Here is a relaxed structure of LaInFe2 from Alexandria via LeMat-Bulk. Energies are from PBE-GGA.

Structure (CIF):
```
data_LaInFe2
_cell_length_a 4.907
_cell_length_b 4.907
_cell_length_c 4.907
_cell_angle_alpha 60.00
_cell_angle_beta 60.00
_cell_angle_gamma 60.00
_space_group_name_H-M_alt 'P 1'
_space_group_IT_number 1
loop_
_space_group_symop_operation_xyz
'x,y,z'
loop_
_atom_site_label
_atom_site_fract_x
_atom_site_fract_y
_atom_site_fract_z
_atom_site_occupancy
La1 0.000 0.000 0.000 1
In1 0.750 0.750 0.750 1
Fe1 0.250 0.250 0.250 1
Fe2 0.500 0.500 0.500 1
```

**Space group**: No. 216
**Uncorrected energy**: -5.77 eV/atom

Here is a relaxed structure of In2NiHg from Alexandria via LeMat-Bulk. Energies are from PBE-GGA.

Structure (CIF):
```
data_In2NiHg
_cell_length_a 4.934
_cell_length_b 4.934
_cell_length_c 4.934
_cell_angle_alpha 60.00
_cell_angle_beta 60.00
_cell_angle_gamma 60.00
_space_group_name_H-M_alt 'P 1'
_space_group_IT_number 1
loop_
_space_group_symop_operation_xyz
'x,y,z'
loop_
_atom_site_label
_atom_site_fract_x
_atom_site_fract_y
_atom_site_fract_z
_atom_site_occupancy
In1 0.000 0.000 0.000 1
In2 0.250 0.250 0.250 1
Ni1 0.750 0.750 0.750 1
Hg1 0.500 0.500 0.500 1
```

**Space group**: No. 216
**Uncorrected energy**: -2.58 eV/atom

Here is a relaxed structure of Nd7Dy2Tl2 from Alexandria via LeMat-Bulk. Energies are from PBE-GGA.

Structure (CIF):
```
data_Nd7Dy2Tl2
_cell_length_a 11.564
_cell_length_b 11.564
_cell_length_c 11.564
_cell_angle_alpha 161.57
_cell_angle_beta 54.47
_cell_angle_gamma 129.22
_space_group_name_H-M_alt 'P 1'
_space_group_IT_number 1
loop_
_space_group_symop_operation_xyz
'x,y,z'
loop_
_atom_site_label
_atom_site_fract_x
_atom_site_fract_y
_atom_site_fract_z
_atom_site_occupancy
Nd1 0.000 0.000 0.000 1
Nd2 0.004 0.343 0.661 1
Nd3 0.081 0.714 0.367 1
Nd4 0.348 0.714 0.633 1
Nd5 0.411 0.540 0.871 1
Nd6 0.669 0.540 0.129 1
Nd7 0.682 0.343 0.339 1
Dy1 0.349 0.349 0.000 1
Dy2 0.677 0.177 0.500 1
Tl1 0.301 0.057 0.244 1
Tl2 0.813 0.057 0.756 1
```

**Space group**: No. 44
**Uncorrected energy**: -4.33 eV/atom

Here is a relaxed structure of BaMoIr2 from Alexandria via LeMat-Bulk. Energies are from PBE-GGA.

Structure (CIF):
```
data_BaMoIr2
_cell_length_a 4.539
_cell_length_b 4.539
_cell_length_c 3.951
_cell_angle_alpha 90.00
_cell_angle_beta 90.00
_cell_angle_gamma 90.00
_space_group_name_H-M_alt 'P 1'
_space_group_IT_number 1
loop_
_space_group_symop_operation_xyz
'x,y,z'
loop_
_atom_site_label
_atom_site_fract_x
_atom_site_fract_y
_atom_site_fract_z
_atom_site_occupancy
Ba1 0.000 0.000 0.000 1
Mo1 0.500 0.500 0.000 1
Ir1 0.000 0.500 0.500 1
Ir2 0.500 0.000 0.500 1
```

**Relative energy among the computed polymorphs**: 3.81 eV per formula unit
**Space group**: No. 123
**Uncorrected energy**: -6.58 eV/atom

Question: The highest uncorrected energy belongs to which entry?
Answer: In2NiHg